1.
5
Lattice="-0.073 -3.367 -2.453 3.989 -1.535 1.989 -2.511 -2.314 3.250" Properties=species:S:1:pos:R:3 comment="GGA-PBEsol Ta2MnAsC, optimized geometry" delta_e_f_ev_per_atom=2.1868 space_group="P4/mmm, No. 123" pbc="T T T"
As 0.000 0.000 0.000
Mn -0.036 -1.684 -1.227
C 0.702 -3.608 1.393
Ta -1.256 -1.157 1.625
Ta 1.994 -0.768 0.994

=====

2.
5
Lattice="4.208 0.000 0.000 0.000 4.208 0.000 0.000 0.000 4.208" Properties=species:S:1:pos:R:3 comment="GGA-PBEsol MoAs3C, optimized geometry" delta_e_f_ev_per_atom=1.1601 space_group="Pm-3m, No. 221" pbc="T T T"
C 0.000 0.000 0.000
Mo 2.104 2.104 2.104
As 0.000 2.104 0.000
As 0.000 0.000 2.104
As 2.104 0.000 0.000

=====

3.
5
Lattice="3.250 0.000 0.000 0.000 4.473 0.000 0.000 0.000 4.473" Properties=species:S:1:pos:R:3 comment="GGA-PBEsol SiAs2CN, optimized geometry" space_group="P4/mmm, No. 123" raw_formation_energy_ev_per_atom=1.498 pbc="T T T"
C 1.625 0.000 0.000
Si 1.625 2.237 2.237
As 0.000 0.000 2.237
As 0.000 2.237 0.000
N 0.000 0.000 0.000

=====

4.
22
Lattice="5.423 0.000 0.148 0.000 6.451 0.000 -0.273 0.000 9.126" Properties=species:S:1:pos:R:3 comment="GGA-PBEsol NaVAsCO7, optimized geometry" space_group="P2_1, No. 4" raw_formation_energy_ev_per_atom=-1.622 pbc="T T T"
Na 3.648 3.178 2.932
Na 1.503 6.404 6.342
V 1.442 4.944 1.548
V 3.708 1.718 7.726
As 1.168 1.671 0.557
As 3.983 4.896 8.718
C 0.789 4.815 3.844
C 4.361 1.590 5.430
O 4.715 1.685 4.258
O 2.047 4.810 3.408
O -0.030 4.742 2.790
O 1.462 0.287 1.559
O 1.543 2.945 1.604
O 3.278 4.790 0.988
O 4.928 1.602 0.273
O 0.222 4.828 9.002
O 1.872 1.564 8.286
O 3.607 6.171 7.670
O 3.688 3.513 7.715
O 5.180 1.517 6.485
O 3.103 1.584 5.866
O 0.435 4.911 5.016

=====

5.
24
Lattice="5.269 0.000 -0.004 0.000 6.624 0.000 -0.287 0.000 9.096" Properties=species:S:1:pos:R:3 comment="GGA-PBEsol Na2VAsCO7, optimized geometry" space_group="P2_1/m, No. 11" raw_formation_energy_ev_per_atom=-1.698 pbc="T T T"
Na 3.646 3.304 7.099
Na 3.646 0.008 7.099
Na 1.336 3.319 1.993
Na 1.336 6.616 1.993
V 1.351 4.968 5.967
V 3.631 1.656 3.125
As 0.932 1.656 5.228
As 4.049 4.968 3.863
C 0.899 4.968 8.387
C 4.082 1.656 0.704
O 4.051 1.656 8.575
O 0.931 4.968 0.517
O 2.106 4.968 7.879
O 2.876 1.656 1.213
O -0.039 4.968 7.452
O 5.021 1.656 1.640
O 3.226 4.968 5.379
O 1.755 1.656 3.713
O 4.490 1.656 4.966
O 0.492 4.968 4.126
O 1.382 0.294 6.169
O 1.382 3.017 6.169
O 3.600 3.606 2.923
O 3.600 6.329 2.923

=====

6.
8
Lattice="-2.384 0.364 -2.268 -0.183 -2.454 2.215 -5.997 7.176 7.455" Properties=species:S:1:pos:R:3 comment="GGA-PBEsol Nb2AsC, optimized geometry" delta_e_f_ev_per_atom=-0.6949 space_group="P6_3/mmc, No. 194" pbc="T T T"
As -3.149 1.219 1.090
As -5.414 3.867 6.312
C 0.000 0.000 0.000
C -2.998 3.588 3.728
Nb -1.484 -0.835 1.426
Nb -5.216 3.692 3.660
Nb -7.079 5.921 5.975
Nb -3.347 1.394 3.742

=====

7.
5
Lattice="4.909 0.000 0.000 0.000 4.909 0.000 0.000 0.000 5.019" Properties=species:S:1:pos:R:3 comment="GGA-PBEsol NbAsCSe2, optimized geometry" space_group="P4/mmm, No. 123" raw_formation_energy_ev_per_atom=1.469 pbc="T T T"
C 2.455 2.455 2.509
Nb 0.000 0.000 0.000
As 0.000 0.000 2.509
Se 0.000 2.455 0.000
Se 2.455 0.000 0.000

=====

8.
5
Lattice="4.922 0.000 0.000 0.000 5.236 0.000 0.000 0.000 5.236" Properties=species:S:1:pos:R:3 comment="GGA-PBEsol Nb2TlAsC, optimized geometry" delta_e_f_ev_per_atom=3.2522 space_group="P4/mmm, No. 123" pbc="T T T"
C 2.461 2.618 2.618
As 2.461 0.000 0.000
Tl 0.000 0.000 0.000
Nb 0.000 0.000 2.618
Nb 0.000 2.618 0.000

=====

9.
8
Lattice="-0.535 -3.512 -3.055 3.291 -2.461 2.252 -4.524 1.182 3.027" Properties=species:S:1:pos:R:3 comment="GGA-PBEsol AsOsC2, optimized geometry" delta_e_f_ev_per_atom=0.9634 space_group="I-42d, No. 122" pbc="T T T"
As -1.841 -2.659 -0.215
As 1.378 -2.986 -0.402
Os 0.072 -2.133 2.439
Os 0.000 0.000 0.000
C 1.548 -3.174 1.582
C -0.365 -3.701 -1.072
C -3.049 0.140 2.170
C -1.670 -2.847 1.769

=====

10.
5
Lattice="4.137 0.000 0.000 0.000 4.137 0.000 0.000 0.000 4.137" Properties=species:S:1:pos:R:3 comment="GGA-PBEsol As3OsC, optimized geometry" delta_e_f_ev_per_atom=1.2658 space_group="Pm-3m, No. 221" pbc="T T T"
As 0.000 2.068 0.000
As 0.000 0.000 2.068
As 2.068 0.000 0.000
Os 2.068 2.068 2.068
C 0.000 0.000 0.000

=====

11.
5
Lattice="-0.357 2.316 3.874 -5.072 -1.957 0.702 2.033 -4.284 2.749" Properties=species:S:1:pos:R:3 comment="GGA-PBEsol Tl2AsOsC, optimized geometry" delta_e_f_ev_per_atom=2.3073 space_group="P4/mmm, No. 123" pbc="T T T"
C -1.698 -1.962 3.663
Tl 1.017 -2.142 1.375
Tl -2.536 -0.978 0.351
Os -0.179 1.158 1.937
As 0.000 0.000 0.000

=====

12.
5
Lattice="-3.594 2.790 0.682 -2.752 -3.658 0.458 0.820 -0.050 4.527" Properties=species:S:1:pos:R:3 comment="GGA-PBEsol AsP3C, optimized geometry" delta_e_f_ev_per_atom=2.3856 space_group="Pm-3m, No. 221" pbc="T T T"
P -1.376 -1.829 0.229
P 0.410 -0.025 2.263
P -1.797 1.395 0.341
As 0.000 0.000 0.000
C -2.763 -0.459 2.833

=====

13.
5
Lattice="4.760 -0.016 -0.025 -1.915 4.358 0.025 -1.915 -1.848 3.947" Properties=species:S:1:pos:R:3 comment="GGA-PBEsol As2P2C, optimized geometry" delta_e_f_ev_per_atom=0.7282 space_group="I4/mmm, No. 139" pbc="T T T"
P -2.766 1.813 2.869
P -1.064 0.697 1.103
As 0.465 2.798 0.993
As 0.465 -0.305 2.954
C 0.000 0.000 0.000

=====

14.
5
Lattice="4.532 0.000 0.000 0.000 4.532 0.000 0.000 0.000 4.532" Properties=species:S:1:pos:R:3 comment="GGA-PBEsol AsPd3C, optimized geometry" delta_e_f_ev_per_atom=1.5647 space_group="Pm-3m, No. 221" pbc="T T T"
As 0.000 0.000 0.000
C 2.266 2.266 2.266
Pd 0.000 2.266 0.000
Pd 0.000 0.000 2.266
Pd 2.266 0.000 0.000

=====

15.
5
Lattice="-0.236 3.792 -1.829 -3.086 -1.402 -2.508 -2.904 1.215 2.894" Properties=species:S:1:pos:R:3 comment="GGA-PBEsol As2PtCSe, optimized geometry" space_group="P4/mmm, No. 123" raw_formation_energy_ev_per_atom=0.994 pbc="T T T"
C 0.000 0.000 0.000
As -1.543 -0.701 -1.254
As -0.118 1.896 -0.915
Se -1.452 0.607 1.447
Pt -3.113 1.802 -0.722

=====

16.
5
Lattice="-0.349 0.221 -4.484 -4.477 -0.354 0.331 -0.371 4.939 0.272" Properties=species:S:1:pos:R:3 comment="GGA-PBEsol RbAs2CSe, optimized geometry" space_group="P4/mmm, No. 123" raw_formation_energy_ev_per_atom=0.879 pbc="T T T"
C 0.000 0.000 0.000
As -2.238 -0.177 0.166
As -0.175 0.110 -2.242
Se -0.185 2.470 0.136
Rb -2.598 2.403 -1.940

=====

17.
5
Lattice="4.081 0.000 0.000 0.000 4.081 0.000 0.000 0.000 4.081" Properties=species:S:1:pos:R:3 comment="GGA-PBEsol Re3AsC, optimized geometry" delta_e_f_ev_per_atom=0.6949 space_group="Pm-3m, No. 221" pbc="T T T"
Re 0.000 2.041 0.000
Re 0.000 0.000 2.041
Re 2.041 0.000 0.000
As 2.041 2.041 2.041
C 0.000 0.000 0.000

=====

18.
5
Lattice="-1.973 -1.796 -3.964 4.277 0.003 -2.130 0.806 -4.441 1.612" Properties=species:S:1:pos:R:3 comment="GGA-PBEsol ReAsCSe2, optimized geometry" space_group="P4/mmm, No. 123" raw_formation_energy_ev_per_atom=1.859 pbc="T T T"
Re 0.000 0.000 0.000
As 0.403 -2.221 0.806
C 1.555 -3.117 -2.241
Se 2.139 0.002 -1.065
Se -0.986 -0.898 -1.982

=====

19.
5
Lattice="-4.152 0.437 2.101 -1.919 -2.805 -3.209 0.960 -3.713 2.671" Properties=species:S:1:pos:R:3 comment="GGA-PBEsol As3RhC, optimized geometry" delta_e_f_ev_per_atom=1.7747 space_group="Pm-3m, No. 221" pbc="T T T"
As -0.959 -1.402 -1.604
As 0.480 -1.856 1.336
As -2.076 0.219 1.050
Rh 0.000 0.000 0.000
C -2.555 -3.040 0.782

=====

20.
8
Lattice="4.698 0.000 0.000 0.000 4.698 0.000 -2.349 -2.349 4.318" Properties=species:S:1:pos:R:3 comment="GGA-PBEsol AsRhC2, optimized geometry" delta_e_f_ev_per_atom=0.8261 space_group="I-42d, No. 122" pbc="T T T"
As 2.349 0.000 2.159
As 2.349 2.349 0.000
Rh 0.000 2.349 2.159
Rh 0.000 0.000 0.000
C 1.230 3.524 1.080
C 3.468 1.175 1.080
C -1.175 -1.119 3.239
C 1.175 1.119 3.239

=====

For each record above, in turn, the calculated spin magnetization values are 2.484, 1.235, 0.000, 2.000, 4.000, 0.000, 1.523, 3.121, 0.000, 0.000, 1.284, 0.002, 0.000, 0.000, 0.000, 0.001, 0.015, 1.725, 0.001, 0.000 μB per cell.